Entry 1:
Crystalline Ba2LaTe4 at its relaxed geometry, computed with PBE.

- space-group type = I4/mmm, No. 139
- formation energy from raw total energies (eV per atom) = -1.3346
- D(E_F) (states/eV/atom) = 1.086
- electronic total energy (eV for the cell shown) = -30.68

CIF file:
```
data_Ba2LaTe4
_symmetry_space_group_name_H-M 'P 1'
_symmetry_Int_Tables_number 1
_symmetry_space_group_name_Hall 'P 1'
_cell_length_a 9.7080
_cell_length_b 9.7080
_cell_length_c 9.7080
_cell_angle_alpha 143.19
_cell_angle_beta 143.19
_cell_angle_gamma 53.03
loop_
_atom_site_label
_atom_site_type_symbol
_atom_site_fract_x
_atom_site_fract_y
_atom_site_fract_z
Ba1 Ba 0.1267 0.1267 0.0000
Ba2 Ba 0.8733 0.8733 0.0000
La1 La 0.5000 0.5000 0.0000
Te1 Te 0.0000 0.5000 0.5000
Te2 Te 0.3186 0.3186 0.0000
Te3 Te 0.5000 0.0000 0.5000
Te4 Te 0.6814 0.6814 0.0000
```

=====

Entry 2:
Crystalline BaLa2Te at its relaxed geometry, computed with PBE.

- space-group type = I-42d, No. 122
- formation energy from raw total energies (eV per atom) = -0.4396
- D(E_F) (states/eV/atom) = 1.140
- electronic total energy (eV for the cell shown) = -33.36

CIF file:
```
data_BaLa2Te
_symmetry_space_group_name_H-M 'P 1'
_symmetry_Int_Tables_number 1
_symmetry_space_group_name_Hall 'P 1'
_cell_length_a 7.6824
_cell_length_b 7.6824
_cell_length_c 7.6824
_cell_angle_alpha 101.64
_cell_angle_beta 101.64
_cell_angle_gamma 126.62
loop_
_atom_site_label
_atom_site_type_symbol
_atom_site_fract_x
_atom_site_fract_y
_atom_site_fract_z
Ba1 Ba 0.0000 0.0000 0.0000
Ba2 Ba 0.7500 0.2500 0.5000
La1 La 0.1810 0.6250 0.0560
La2 La 0.3750 0.4310 0.5560
La3 La 0.5690 0.1250 0.9440
La4 La 0.8750 0.8190 0.4440
Te1 Te 0.2500 0.7500 0.5000
Te2 Te 0.5000 0.5000 0.0000
```

=====

Entry 3:
Crystalline BaLa2Te at its relaxed geometry, computed with PBE.

- space-group type = Cm, No. 8
- formation energy from raw total energies (eV per atom) = -0.5427
- D(E_F) (states/eV/atom) = 1.021
- electronic total energy (eV for the cell shown) = -17.09

CIF file:
```
data_BaLa2Te
_symmetry_space_group_name_H-M 'P 1'
_symmetry_Int_Tables_number 1
_symmetry_space_group_name_Hall 'P 1'
_cell_length_a 6.9285
_cell_length_b 6.9285
_cell_length_c 5.7416
_cell_angle_alpha 108.36
_cell_angle_beta 108.36
_cell_angle_gamma 34.47
loop_
_atom_site_label
_atom_site_type_symbol
_atom_site_fract_x
_atom_site_fract_y
_atom_site_fract_z
Ba1 Ba 0.0000 0.0000 0.0000
La1 La 0.5806 0.5806 0.5686
La2 La 0.7866 0.7866 0.4004
Te1 Te 0.2641 0.2641 0.9034
```

=====

Entry 4:
Crystalline Ba2La2Te at its relaxed geometry, computed with PBE.

- space-group type = P4/mbm, No. 127
- formation energy from raw total energies (eV per atom) = -0.3495
- D(E_F) (states/eV/atom) = 1.534
- electronic total energy (eV for the cell shown) = -37.18

CIF file:
```
data_Ba2La2Te
_symmetry_space_group_name_H-M 'P 1'
_symmetry_Int_Tables_number 1
_symmetry_space_group_name_Hall 'P 1'
_cell_length_a 8.5081
_cell_length_b 8.5081
_cell_length_c 6.1514
_cell_angle_alpha 90.00
_cell_angle_beta 90.00
_cell_angle_gamma 90.00
loop_
_atom_site_label
_atom_site_type_symbol
_atom_site_fract_x
_atom_site_fract_y
_atom_site_fract_z
Ba1 Ba 0.1624 0.3376 0.0000
Ba2 Ba 0.3376 0.8376 0.0000
Ba3 Ba 0.6624 0.1624 0.0000
Ba4 Ba 0.8376 0.6624 0.0000
La1 La 0.1496 0.6496 0.5000
La2 La 0.3504 0.1496 0.5000
La3 La 0.6496 0.8504 0.5000
La4 La 0.8504 0.3504 0.5000
Te1 Te 0.0000 0.0000 0.5000
Te2 Te 0.5000 0.5000 0.5000
```

=====

The lowest electronic total energy belongs to which entry?
Ba2La2Te

=====

Please write out number 2 again, unchanged.
Crystalline BaLa2Te at its relaxed geometry, computed with PBE.

- space-group type = I-42d, No. 122
- formation energy from raw total energies (eV per atom) = -0.4396
- D(E_F) (states/eV/atom) = 1.140
- electronic total energy (eV for the cell shown) = -33.36

CIF file:
```
data_BaLa2Te
_symmetry_space_group_name_H-M 'P 1'
_symmetry_Int_Tables_number 1
_symmetry_space_group_name_Hall 'P 1'
_cell_length_a 7.6824
_cell_length_b 7.6824
_cell_length_c 7.6824
_cell_angle_alpha 101.64
_cell_angle_beta 101.64
_cell_angle_gamma 126.62
loop_
_atom_site_label
_atom_site_type_symbol
_atom_site_fract_x
_atom_site_fract_y
_atom_site_fract_z
Ba1 Ba 0.0000 0.0000 0.0000
Ba2 Ba 0.7500 0.2500 0.5000
La1 La 0.1810 0.6250 0.0560
La2 La 0.3750 0.4310 0.5560
La3 La 0.5690 0.1250 0.9440
La4 La 0.8750 0.8190 0.4440
Te1 Te 0.2500 0.7500 0.5000
Te2 Te 0.5000 0.5000 0.0000
```

=====

Number 2 is which compound?
BaLa2Te

=====

The lowest formation energy from raw total energies belongs to which entry?
Ba2LaTe4